1.
PmGdIr4, optimized geometry, DFT GGA-PBE; spin magnetization = 7.01 μB/f.u.; SG = F-43m; E = -58.8 eV per cell
1.0
0.0000 3.8201 3.8201
3.8201 0.0000 3.8201
3.8201 3.8201 0.0000
Pm Gd Ir
1 1 4
Cartesian
0.0000 0.0000 0.0000
5.7302 5.7302 5.7302
2.8656 2.8656 2.8656
4.7747 4.7747 2.8656
4.7747 2.8656 4.7747
2.8656 4.7747 4.7747

=====

2.
Tb19Sm4Tm6, optimized geometry, DFT GGA-PBE; spin magnetization = 0.00 μB/f.u.; SG = I23; E = -122.3 eV per cell
1.0
-6.2368 6.2368 6.2368
6.2368 -6.2368 6.2368
6.2368 6.2368 -6.2368
Tb Sm Tm
19 4 6
Cartesian
0.0000 0.0000 0.0000
3.2836 0.0000 0.0000
9.1899 0.0000 0.0000
7.0098 -2.7776 2.9239
3.4592 3.3129 -0.7730
3.3129 -0.7730 3.4592
0.0000 3.2836 0.0000
0.0000 0.0000 3.2836
9.0144 3.3129 0.7730
2.9239 7.0098 -2.7776
5.4638 2.7776 2.9239
-0.7730 3.4592 3.3129
2.9239 5.4638 2.7776
2.7776 2.9239 5.4638
0.0000 9.1899 0.0000
0.0000 0.0000 9.1899
3.3129 0.7730 9.0144
-2.7776 2.9239 7.0098
0.7730 9.0144 3.3129
3.9998 3.9998 -3.9998
3.9998 -3.9998 3.9998
2.2370 2.2370 2.2370
-3.9998 3.9998 3.9998
6.2368 0.0000 1.5690
6.2368 4.6678 0.0000
1.5690 6.2368 0.0000
4.6678 0.0000 6.2368
0.0000 1.5690 6.2368
0.0000 6.2368 4.6678

=====

3.
AcPrSm4S8, optimized geometry, DFT GGA-PBE; formation energy without anion corrections = -1.92 eV/atom; spin magnetization = 0.00 μB/f.u.; SG = R3m
1.0
4.1704 2.4078 6.8528
-4.1704 2.4078 6.8528
0.0000 -4.8155 6.8528
Ac Pr Sm S
1 1 4 8
Cartesian
0.0000 0.0000 0.0000
0.0000 0.0000 12.8179
-2.0526 -1.1851 9.4489
0.0000 0.0000 5.1629
2.0526 -1.1851 9.4488
0.0000 2.3702 9.4488
0.0000 -2.3123 11.0633
-2.0025 1.1562 11.0633
0.0000 0.0000 7.8652
-1.8823 -1.0868 14.6995
2.0025 1.1562 11.0633
0.0000 0.0000 17.7184
1.8823 -1.0868 14.6995
0.0000 2.1735 14.6995

=====

4.
KZr5, optimized geometry, DFT GGA-PBE; spin magnetization = 0.00 μB/f.u.; SG = Amm2; energy above the most stable polymorph in this dataset = 0.0 meV per atom
1.0
5.2797 0.0000 0.0000
0.0000 1.5524 10.2121
0.0000 -1.5524 10.2121
K Zr
1 5
Cartesian
0.0000 0.0000 0.0000
0.0000 0.0000 6.5799
0.0000 0.0000 14.0818
2.6398 0.0000 4.8754
2.6398 0.0000 12.4999
2.6398 0.0000 17.8467

=====

5.
TiCo3Hg, optimized geometry, DFT GGA-PBE; spin magnetization = 0.99 μB/f.u.; SG = Pm-3m; energy above the most stable polymorph in this dataset = 0.0 meV per atom
1.0
4.3105 0.0000 0.0000
0.0000 4.3105 0.0000
0.0000 0.0000 4.3105
Ti Co Hg
1 3 1
Cartesian
0.0000 0.0000 0.0000
0.0000 0.0000 2.1553
0.0000 2.1553 0.0000
2.1553 0.0000 0.0000
2.1553 2.1553 2.1553

=====

6.
TePOF2, optimized geometry, DFT GGA-PBE; formation energy without anion corrections = -0.39 eV/atom; spin magnetization = 2.79 μB/f.u.; SG = P4/mmm; energy above the most stable polymorph in this dataset = 219.0 meV per atom
1.0
4.5837 0.0000 0.0000
0.0000 4.5837 0.0000
0.0000 0.0000 4.1016
Te P O F
1 1 1 2
Cartesian
0.0000 0.0000 0.0000
2.2918 2.2918 2.0508
0.0000 0.0000 2.0508
0.0000 2.2918 0.0000
2.2918 0.0000 0.0000

=====

7.
Cs2Sb2S5, optimized geometry, DFT GGA-PBE; formation energy without anion corrections = -0.59 eV/atom; spin magnetization = 0.00 μB/f.u.; SG = P-1; energy above the most stable polymorph in this dataset = 0.0 meV per atom
1.0
6.0828 0.0000 0.0000
0.2388 7.4638 0.0000
2.5577 2.6885 6.7804
Cs Sb S
2 2 5
Cartesian
1.4166 3.2788 2.2510
7.4627 6.8734 4.5294
4.4503 3.5449 5.5353
4.4290 6.6074 1.2451
2.0076 6.5232 0.9256
4.4568 8.7043 4.4355
4.4397 5.0761 3.3902
4.4225 1.4480 2.3449
6.8717 3.6291 5.8549

=====

8.
Ti2NbPtC, optimized geometry, DFT GGA-PBE; spin magnetization = 0.00 μB/f.u.; SG = P4/mmm; E = -44.3 eV per cell
1.0
4.1483 0.0000 0.0000
0.0000 4.1483 0.0000
0.0000 0.0000 4.2825
Ti Nb Pt C
2 1 1 1
Cartesian
0.0000 2.0742 0.0000
2.0742 0.0000 0.0000
0.0000 0.0000 2.1413
2.0742 2.0742 2.1413
0.0000 0.0000 0.0000